# 1
MgScHg2: optimized geometry, PBE.

Its magnetization is 0.0 Bohr magnetons per cell. For the uncorrected energy, the calculation gives -2.386 eV per atom.

The structure belongs to space group P6_3/mmc (No. 194); the cell edges are 4.7761, 4.7761 and 8.8128 Å and the angles 90.00°, 90.00° and 120.00°. The distinct sites, in fractional coordinates, are Mg at (0.0000, 0.0000, 0.0000), Sc at (0.3333, 0.6667, 0.2500) and Hg at (0.3333, 0.6667, 0.5895).

# 2
UI2Br2: optimized geometry, PBE.

Its magnetization is 8.0 Bohr magnetons per cell. For the uncorrected energy, the calculation gives -4.580 eV per atom.

The structure belongs to space group Immm (No. 71); the cell edges are 8.8768, 9.4750 and 10.7074 Å and the angles 90.00°, 90.00° and 90.00°. The distinct sites, in fractional coordinates, are U at (0.2474, 0.0000, 0.0000), I at (0.0000, 0.0000, 0.2022), I at (0.0000, 0.5000, 0.3023) and Br at (0.2412, 0.2818, 0.0000).

# 3
UBiPb: optimized geometry, PBE.

Its magnetization is 14.3 Bohr magnetons per cell. Its energy above the most stable polymorph in this dataset is 20.2 kJ/mol of atoms.

The structure belongs to space group F-43m (No. 216); the cell edges are 7.4920, 7.4920 and 7.4920 Å and the angles 90.00°, 90.00° and 90.00°. The distinct sites, in fractional coordinates, are U at (0.0000, 0.0000, 0.0000), Bi at (0.0000, 0.0000, 0.5000) and Pb at (0.2500, 0.2500, 0.7500).

# 4
AcSnPd: optimized geometry, PBE.

Its magnetization is 0.6 Bohr magnetons per cell. Its energy above the most stable polymorph in this dataset is 11.7 kJ/mol of atoms.

The structure belongs to space group F-43m (No. 216); the cell edges are 7.0543, 7.0543 and 7.0543 Å and the angles 90.00°, 90.00° and 90.00°. The distinct sites, in fractional coordinates, are Ac at (0.0000, 0.0000, 0.0000), Sn at (0.0000, 0.0000, 0.5000) and Pd at (0.2500, 0.2500, 0.2500).

# 5
Mg2ReSb: optimized geometry, PBE.

Its magnetization is 0.0 Bohr magnetons per cell. For the uncorrected energy, the calculation gives -4.498 eV per atom.

The structure belongs to space group F-43m (No. 216); the cell edges are 6.6328, 6.6328 and 6.6328 Å and the angles 90.00°, 90.00° and 90.00°. The distinct sites, in fractional coordinates, are Mg at (0.0000, 0.0000, 0.0000), Mg at (0.2500, 0.2500, 0.2500), Re at (0.2500, 0.2500, 0.7500) and Sb at (0.0000, 0.0000, 0.5000).

# 6
KYCoTe3: optimized geometry, PBE.

Its magnetization is 3.8 Bohr magnetons per cell. Its energy above the most stable polymorph in this dataset is 0.0 kJ/mol of atoms.

The structure belongs to space group P2_1/m (No. 11); the cell edges are 9.8659, 4.2299 and 10.0394 Å and the angles 90.00°, 109.33° and 90.00°. The distinct sites, in fractional coordinates, are K at (0.2016, 0.2500, 0.2358), Y at (0.3289, 0.7500, 0.8583), Co at (0.0755, 0.2500, 0.5886), Te at (0.1039, 0.2500, 0.8548), Te at (0.1916, 0.7500, 0.5282) and Te at (0.4618, 0.7500, 0.1808).